No. 1
VASP calculation (PBE-GGA) on a geometry-optimized Li2PtW structure.

- Electronic total energy: -5.709 eV per atom
- Offset from the most stable computed form: 4.4 kJ/mol of atoms
- Calculated formation energy: -0.004 eV/atom

abc: 4.7015 2.6772 4.7590
angles: 87.16 90.00 90.00
With the nearest neighbours (Å) after each atom.
Fractional coordinates of all 4 atoms:
Li 0.0000 0.0689 0.0028  5 Li 2.55-2.84, 2 Pt 2.68, 2 W 2.79
Li 0.0000 0.4311 0.4972  5 Li 2.55-2.84, 2 Pt 2.68, 2 W 2.79
Pt 0.5000 0.2500 0.2500  4 W 2.67-2.79, 2 Pt 2.68, 4 Li 2.68
W 0.5000 0.7500 0.7500  4 Pt 2.67-2.79, 2 W 2.68, 4 Li 2.79



No. 2
VASP calculation (PBE-GGA) on a geometry-optimized Hf5TaGa3 structure.

- Electronic total energy: -7.677 eV per atom
- Calculated formation energy: 0.179 eV/atom

abc: 6.2645 6.2645 10.1708
angles: 83.97 83.97 80.59
With the nearest neighbours (Å) after each atom.
Fractional coordinates of all 18 atoms:
Hf 0.9890 0.3938 0.3438  4 Ga 2.67-2.88, 1 Ta 2.97
Hf 0.3233 0.6767 0.0000  3 Ga 2.62-2.90, 1 Hf 2.86
Hf 0.7228 0.7228 0.1489  1 Ta 2.66, 2 Ga 2.75-2.86, 1 Hf 2.81
Hf 0.4668 0.4668 0.3216  3 Ga 2.74-3.06, 1 Hf 2.81
Hf 0.5332 0.5332 0.6784  3 Ga 2.74-3.06, 1 Hf 2.81
Hf 0.2772 0.2772 0.8511  1 Ta 2.66, 2 Ga 2.75-2.86, 1 Hf 2.81
Hf 0.3938 0.9890 0.3438  4 Ga 2.67-2.88, 1 Ta 2.97
Hf 0.6767 0.3233 0.0000  3 Ga 2.62-2.90, 1 Hf 2.86
Hf 0.0110 0.6062 0.6562  4 Ga 2.67-2.88, 1 Ta 2.97
Hf 0.6062 0.0110 0.6562  4 Ga 2.67-2.88, 1 Ta 2.97
Ta 0.0385 0.0385 0.7432  3 Ga 2.55-2.81, 1 Hf 2.66
Ta 0.9615 0.9615 0.2568  3 Ga 2.55-2.81, 1 Hf 2.66
Ga 0.7473 0.7473 0.8763  6 Hf 2.75-3.06, 1 Ga 2.87, 1 Ta 2.92
Ga 0.7213 0.7213 0.4497  6 Hf 2.67-2.91, 1 Ga 2.78, 1 Ta 2.81
Ga 0.0000 0.0000 0.0000  2 Ta 2.59, 4 Hf 2.62-2.86, 2 Ga 2.87
Ga 0.0000 0.0000 0.5000  2 Ta 2.55, 2 Ga 2.78, 4 Hf 2.79
Ga 0.2527 0.2527 0.1237  6 Hf 2.75-3.06, 1 Ga 2.87, 1 Ta 2.92
Ga 0.2787 0.2787 0.5503  6 Hf 2.67-2.91, 1 Ga 2.78, 1 Ta 2.81



No. 3
VASP calculation (PBE-GGA) on a geometry-optimized CeAlAs2 structure.

- Electronic total energy: -4.753 eV per atom
- Offset from the most stable computed form: 69.3 kJ/mol of atoms
- Calculated formation energy: -0.009 eV/atom

abc: 3.3974 3.3974 9.5584
angles: 79.76 79.76 60.00
With the nearest neighbours (Å) after each atom.
Fractional coordinates of all 4 atoms:
As 0.1058 0.1058 0.6827  3 Al 2.60
As 0.8942 0.8942 0.3173  3 Al 2.60
Al 0.5000 0.5000 0.5000  6 As 2.60
Ce 0.0000 0.0000 0.0000  2 As 2.97



No. 4
VASP calculation (PBE-GGA) on a geometry-optimized AcEr2SeO8 structure.

- Electronic total energy: -6.961 eV per atom
- E_form (uncorrected): -2.262 eV/atom

abc: 4.6331 4.9021 7.1832
angles: 87.13 87.97 91.98
With the nearest neighbours (Å) after each atom.
Fractional coordinates of all 12 atoms:
Ac 0.0000 0.0000 0.5000  8 O 2.52-2.79
Er 0.4729 0.4718 0.7740  6 O 2.23-2.30
Er 0.5271 0.5282 0.2260  6 O 2.23-2.30
Se 0.0000 0.0000 0.0000  6 O 1.81-1.89
O 0.1085 0.7564 0.1945  1 Se 1.89
O 0.6925 0.7650 0.9695  1 Se 1.83
O 0.8149 0.1713 0.1838  1 Se 1.81
O 0.8915 0.2436 0.8055  1 Se 1.89
O 0.3075 0.2350 0.0305  1 Se 1.83
O 0.1851 0.8287 0.8162  1 Se 1.81
O 0.5234 0.7359 0.5001  2 Er 2.26-2.30, 1 O 2.32, 1 Ac 2.52
O 0.4766 0.2641 0.4999  2 Er 2.26-2.30, 1 O 2.32, 1 Ac 2.52



No. 5
VASP calculation (PBE-GGA) on a geometry-optimized MoIrCl2 structure.

- Electronic total energy: -5.214 eV per atom
- Offset from the most stable computed form: 83.5 kJ/mol of atoms
- E_form (uncorrected): 0.633 eV/atom

abc: 2.9748 2.9748 11.4380
angles: 90.00 90.00 122.73
With the nearest neighbours (Å) after each atom.
Fractional coordinates of all 4 atoms:
Mo 0.5000 0.5000 0.7500  4 Cl 2.42
Ir 0.5000 0.5000 0.2500  6 Ir 2.85-2.97
Cl 0.0000 0.0000 0.9212  2 Mo 2.42
Cl 0.0000 0.0000 0.5788  2 Mo 2.42



No. 6
VASP calculation (PBE-GGA) on a geometry-optimized Rb2GeAuI5 structure.

- Electronic total energy: -2.718 eV per atom
- E_form (uncorrected): -0.765 eV/atom

abc: 4.6142 11.2466 14.9034
angles: 90.00 90.00 101.84
With the nearest neighbours (Å) after each atom.
Fractional coordinates of all 18 atoms:
Rb 0.8805 0.7610 0.8297  7 I 3.66-3.95
Rb 0.1269 0.2539 0.7206  7 I 3.68-3.83
Rb 0.1195 0.2390 0.3297  7 I 3.66-3.95
Rb 0.8731 0.7461 0.2206  7 I 3.68-3.83
Ge 0.7868 0.5735 0.5195  5 I 2.90-3.10
Ge 0.2132 0.4265 0.0195  5 I 2.90-3.10
Au 0.5431 0.0861 0.9228  3 I 2.71-2.75
Au 0.4569 0.9139 0.4228  3 I 2.71-2.75
I 0.3451 0.6901 0.0239  1 Ge 2.90
I 0.7137 0.4273 0.8804  2 Ge 3.10
I 0.4988 0.9976 0.7534  1 Au 2.71
I 0.2949 0.5899 0.6554  2 Ge 3.08
I 0.9347 0.8694 0.5182  2 Au 2.75
I 0.6549 0.3099 0.5239  1 Ge 2.90
I 0.2863 0.5727 0.3804  2 Ge 3.10
I 0.5012 0.0024 0.2534  1 Au 2.71
I 0.7051 0.4101 0.1554  2 Ge 3.08
I 0.0653 0.1306 0.0182  2 Au 2.75



No. 7
VASP calculation (PBE-GGA) on a geometry-optimized Sm2HgOs structure.

- Electronic total energy: -5.512 eV per atom
- Offset from the most stable computed form: 0.0 kJ/mol of atoms
- Calculated formation energy: -0.270 eV/atom

abc: 3.5122 3.5122 7.8762
angles: 90.00 90.00 90.00
With the nearest neighbours (Å) after each atom.
Fractional coordinates of all 4 atoms:
Os 0.5000 0.5000 0.0000  8 Sm 3.01
Hg 0.5000 0.5000 0.5000  8 Sm 3.34, 4 Hg 3.51
Sm 0.0000 0.0000 0.7831  4 Os 3.01, 4 Hg 3.34
Sm 0.0000 0.0000 0.2169  4 Os 3.01, 4 Hg 3.34



No. 8
VASP calculation (PBE-GGA) on a geometry-optimized Ho2ZnIr2Rh5 structure.

- Electronic total energy: -6.874 eV per atom
- Calculated formation energy: -0.384 eV/atom

abc: 4.0086 9.2764 9.2764
angles: 90.00 90.00 90.00
With the nearest neighbours (Å) after each atom.
Fractional coordinates of all 20 atoms:
Ho 0.0000 0.6642 0.1642  3 Ir 2.64-2.78, 2 Rh 2.94
Ho 0.0000 0.3358 0.8358  3 Ir 2.64-2.78, 2 Rh 2.94
Ho 0.0000 0.1642 0.3358  3 Ir 2.64-2.78, 2 Rh 2.94
Ho 0.0000 0.8358 0.6642  3 Ir 2.64-2.78, 2 Rh 2.94
Zn 0.0000 0.0000 0.0000  8 Rh 2.78
Zn 0.0000 0.5000 0.5000  8 Rh 2.78
Ir 0.0000 0.1344 0.6344  6 Rh 2.62-2.67, 3 Ho 2.64-2.78
Ir 0.0000 0.8656 0.3656  6 Rh 2.62-2.67, 3 Ho 2.64-2.78
Ir 0.0000 0.6344 0.8656  6 Rh 2.62-2.67, 3 Ho 2.64-2.78
Ir 0.0000 0.3656 0.1344  6 Rh 2.62-2.67, 3 Ho 2.64-2.78
Rh 0.5000 0.1969 0.0683  2 Ir 2.62, 3 Rh 2.73-2.88, 2 Zn 2.78
Rh 0.5000 0.8031 0.9317  2 Ir 2.62, 3 Rh 2.73-2.88, 2 Zn 2.78
Rh 0.5000 0.0683 0.8031  2 Ir 2.62, 3 Rh 2.73-2.88, 2 Zn 2.78
Rh 0.5000 0.6969 0.4317  2 Ir 2.62, 3 Rh 2.73-2.88, 2 Zn 2.78
Rh 0.5000 0.9317 0.1969  2 Ir 2.62, 3 Rh 2.73-2.88, 2 Zn 2.78
Rh 0.5000 0.3031 0.5683  2 Ir 2.62, 3 Rh 2.73-2.88, 2 Zn 2.78
Rh 0.5000 0.5683 0.6969  2 Ir 2.62, 3 Rh 2.73-2.88, 2 Zn 2.78
Rh 0.5000 0.4317 0.3031  2 Ir 2.62, 3 Rh 2.73-2.88, 2 Zn 2.78
Rh 0.5000 0.5000 0.0000  4 Ir 2.67, 4 Rh 2.88, 4 Ho 2.94
Rh 0.5000 0.0000 0.5000  4 Ir 2.67, 4 Rh 2.88, 4 Ho 2.94



No. 9
VASP calculation (PBE-GGA) on a geometry-optimized RbTcW3 structure.

- Electronic total energy: -7.852 eV per atom
- Offset from the most stable computed form: 0.0 kJ/mol of atoms
- Calculated formation energy: 2.187 eV/atom

abc: 4.8851 4.8851 4.8851
angles: 90.00 90.00 90.00
With the nearest neighbours (Å) after each atom.
Fractional coordinates of all 5 atoms:
Rb 0.5000 0.5000 0.5000  12 W 3.45
Tc 0.0000 0.0000 0.0000  6 W 2.44
W 0.0000 0.5000 0.0000  2 Tc 2.44
W 0.0000 0.0000 0.5000  2 Tc 2.44
W 0.5000 0.0000 0.0000  2 Tc 2.44



No. 10
VASP calculation (PBE-GGA) on a geometry-optimized TlTeI4 structure.

- Electronic total energy: -2.197 eV per atom
- Offset from the most stable computed form: 0.0 kJ/mol of atoms
- E_form (uncorrected): -0.246 eV/atom

abc: 8.3355 8.8606 9.7601
angles: 107.46 105.28 111.12
With the nearest neighbours (Å) after each atom.
Fractional coordinates of all 12 atoms:
Tl 0.4248 0.6748 0.3497  6 I 3.48-3.57
Tl 0.5752 0.3252 0.6503  6 I 3.48-3.57
Te 0.0731 0.8231 0.6462  4 I 2.88-3.03
Te 0.9269 0.1769 0.3538  4 I 2.88-3.03
I 0.0131 0.2606 0.1103  1 Te 2.88
I 0.5972 0.8496 0.1103  1 Te 2.88
I 0.2768 0.5166 0.6135  1 Te 3.03
I 0.7232 0.4834 0.3865  1 Te 3.03
I 0.1633 0.9030 0.3865  1 Te 3.03
I 0.4028 0.1504 0.8897  1 Te 2.88
I 0.8367 0.0970 0.6135  1 Te 3.03
I 0.9869 0.7394 0.8897  1 Te 2.88



No. 11
VASP calculation (PBE-GGA) on a geometry-optimized TbIn2Sn2 structure.

- Electronic total energy: -3.875 eV per atom
- Offset from the most stable computed form: 5.6 kJ/mol of atoms
- Calculated formation energy: -0.253 eV/atom

abc: 4.1107 4.1107 8.4467
angles: 76.24 76.24 89.83
With the nearest neighbours (Å) after each atom.
Fractional coordinates of all 5 atoms:
Tb 0.1999 0.0000 0.0000  2 In 3.16, 8 Sn 3.32-3.34
In 0.0019 0.8018 0.3967  1 Tb 3.16, 5 Sn 3.18-3.31, 4 In 3.33-3.36
In 0.3983 0.1982 0.6033  1 Tb 3.16, 5 Sn 3.18-3.31, 4 In 3.33-3.36
Sn 0.8011 0.6011 0.7960  5 In 3.18-3.31, 1 Sn 3.25, 4 Tb 3.32-3.34
Sn 0.5988 0.3988 0.2039  5 In 3.18-3.31, 1 Sn 3.25, 4 Tb 3.32-3.34



No. 12
VASP calculation (PBE-GGA) on a geometry-optimized AcPuN2 structure.

- Electronic total energy: -9.766 eV per atom
- Offset from the most stable computed form: 12.9 kJ/mol of atoms
- E_form (uncorrected): -0.993 eV/atom

abc: 3.6008 3.6008 6.5616
angles: 74.07 74.07 60.00
With the nearest neighbours (Å) after each atom.
Fractional coordinates of all 4 atoms:
Ac 0.4946 0.4946 0.5162  6 N 2.66-2.86
Pu 0.6661 0.6661 0.0017  6 N 2.42-2.49
N 0.0725 0.0725 0.7826  3 Pu 2.49, 3 Ac 2.66
N 0.2668 0.2668 0.1996  3 Pu 2.42



| no. | density (Mg/m³) |
| --- | --- |
| 1 | 10.9 |
| 2 | 10.9 |
| 3 | 5.6 |
| 4 | 7.8 |
| 5 | 7.0 |
| 6 | 4.7 |
| 7 | 11.8 |
| 8 | 12.5 |
| 9 | 10.5 |
| 10 | 4.8 |
| 11 | 7.7 |
| 12 | 11.9 |